Material: Rb2PmTe3
Method: DFT, GGA-PBE
State: optimized geometry

```
Rb2PmTe3
1.0
8.176 -4.059 0.000
8.176 4.059 0.000
0.000 0.000 7.465
Rb Pm Te
4 2 6
direct
0.048 0.314 0.250 Rb
0.314 0.048 0.750 Rb
0.686 0.952 0.250 Rb
0.952 0.686 0.750 Rb
0.331 0.669 0.250 Pm
0.669 0.331 0.750 Pm
0.000 0.000 0.000 Te
0.000 0.000 0.500 Te
0.369 0.369 0.000 Te
0.369 0.369 0.500 Te
0.631 0.631 0.000 Te
0.631 0.631 0.500 Te
```

Properties
Total energy (eV per atom): -3.7840
SG: Cmcm, No. 63
Formation energy without anion corrections (eV per atom): -1.0989


Material: RbPmTe4
Method: DFT, GGA-PBE
State: optimized geometry

```
RbPmTe4
1.0
6.942 0.000 0.000
0.000 6.942 0.000
0.000 0.000 9.303
Rb Pm Te
2 2 8
direct
0.250 0.250 0.000 Rb
0.750 0.750 0.000 Rb
0.250 0.250 0.500 Pm
0.750 0.750 0.500 Pm
0.106 0.606 0.296 Te
0.106 0.894 0.704 Te
0.394 0.606 0.704 Te
0.394 0.894 0.296 Te
0.606 0.106 0.704 Te
0.606 0.394 0.296 Te
0.894 0.106 0.296 Te
0.894 0.394 0.704 Te
```

Properties
Total energy (eV per atom): -4.0048
SG: P4/nbm, No. 125
Formation energy without anion corrections (eV per atom): -0.9573


Material: RbPmTe2
Method: DFT, GGA-PBE
State: optimized geometry

```
RbPmTe2
1.0
2.439 1.408 10.599
-2.439 1.408 10.599
0.000 -2.817 10.599
Rb Pm Te
1 1 2
direct
0.000 0.000 0.000 Rb
0.500 0.500 0.500 Pm
0.410 0.410 0.410 Te
0.590 0.590 0.590 Te
```

Properties
Total energy (eV per atom): -3.2946
SG: R-3m, No. 166
Formation energy without anion corrections (eV per atom): -0.2942


Material: RbPm3Te4
Method: DFT, GGA-PBE
State: optimized geometry

```
RbPm3Te4
1.0
4.538 0.000 0.000
-2.269 3.930 0.000
0.000 0.000 31.671
Rb Pm Te
2 6 8
direct
0.333 0.667 0.250 Rb
0.667 0.333 0.750 Rb
0.000 0.000 0.000 Pm
0.000 0.000 0.500 Pm
0.333 0.667 0.613 Pm
0.333 0.667 0.887 Pm
0.667 0.333 0.113 Pm
0.667 0.333 0.387 Pm
0.000 0.000 0.169 Te
0.000 0.000 0.331 Te
0.000 0.000 0.669 Te
0.000 0.000 0.831 Te
0.333 0.667 0.057 Te
0.333 0.667 0.443 Te
0.667 0.333 0.557 Te
0.667 0.333 0.943 Te
```

Properties
Total energy (eV per atom): -4.8795
SG: P6_3/mmc, No. 194
Formation energy without anion corrections (eV per atom): -1.4062


Material: RbPm2Te4
Method: DFT, GGA-PBE
State: optimized geometry

```
RbPm2Te4
1.0
2.255 -7.778 0.000
2.255 7.778 0.000
0.000 0.000 15.534
Rb Pm Te
2 4 8
direct
0.104 0.896 0.750 Rb
0.896 0.104 0.250 Rb
0.365 0.635 0.558 Pm
0.365 0.635 0.942 Pm
0.635 0.365 0.058 Pm
0.635 0.365 0.442 Pm
0.000 0.000 0.000 Te
0.000 0.000 0.500 Te
0.261 0.739 0.116 Te
0.261 0.739 0.384 Te
0.417 0.583 0.750 Te
0.583 0.417 0.250 Te
0.739 0.261 0.616 Te
0.739 0.261 0.884 Te
```

Properties
Total energy (eV per atom): -4.4962
SG: Cmcm, No. 63
Formation energy without anion corrections (eV per atom): -1.2054


Material: RbPm3Te3
Method: DFT, GGA-PBE
State: optimized geometry

```
RbPm3Te3
1.0
4.364 2.519 9.235
-4.364 2.519 9.235
0.000 -5.039 9.235
Rb Pm Te
2 6 6
direct
0.165 0.165 0.165 Rb
0.835 0.835 0.835 Rb
0.118 0.361 0.646 Pm
0.354 0.882 0.639 Pm
0.361 0.646 0.118 Pm
0.639 0.354 0.882 Pm
0.646 0.118 0.361 Pm
0.882 0.639 0.354 Pm
0.009 0.788 0.421 Te
0.212 0.579 0.991 Te
0.421 0.009 0.788 Te
0.579 0.991 0.212 Te
0.788 0.421 0.009 Te
0.991 0.212 0.579 Te
```

Properties
Total energy (eV per atom): -4.4931
SG: R-3, No. 148
Formation energy without anion corrections (eV per atom): -0.9725


Material: Rb2PmTe6
Method: DFT, GGA-PBE
State: optimized geometry

```
Rb2PmTe6
1.0
7.117 -4.721 0.000
7.117 4.721 0.000
-0.359 0.000 5.677
Rb Pm Te
2 1 6
direct
0.166 0.166 0.377 Rb
0.834 0.834 0.623 Rb
0.500 0.500 0.000 Pm
0.108 0.583 0.127 Te
0.317 0.683 0.500 Te
0.417 0.892 0.873 Te
0.583 0.108 0.127 Te
0.683 0.317 0.500 Te
0.892 0.417 0.873 Te
```

Properties
Total energy (eV per atom): -3.5557
SG: C2/m, No. 12
Formation energy without anion corrections (eV per atom): -0.7184


Material: RbPmTe2
Method: DFT, GGA-PBE
State: optimized geometry

```
RbPmTe2
1.0
2.301 1.328 8.703
-2.301 1.328 8.703
0.000 -2.657 8.703
Rb Pm Te
1 1 2
direct
0.000 0.000 0.000 Rb
0.169 0.169 0.169 Pm
0.570 0.570 0.570 Te
0.768 0.768 0.768 Te
```

Properties
Total energy (eV per atom): -4.3928
SG: R3m, No. 160
Formation energy without anion corrections (eV per atom): -1.3924


Material: Rb3Pm4Te8
Method: DFT, GGA-PBE
State: optimized geometry

```
Rb3Pm4Te8
1.0
6.649 -6.682 0.000
6.649 6.682 0.000
-6.282 0.000 6.724
Rb Pm Te
3 4 8
direct
0.000 0.000 0.000 Rb
0.000 0.500 0.000 Rb
0.500 0.000 0.000 Rb
0.000 0.500 0.500 Pm
0.500 0.000 0.500 Pm
0.500 0.500 0.000 Pm
0.500 0.500 0.500 Pm
0.262 0.738 0.500 Te
0.264 0.736 0.000 Te
0.266 0.266 0.523 Te
0.287 0.287 0.039 Te
0.713 0.713 0.961 Te
0.734 0.734 0.477 Te
0.736 0.264 0.000 Te
0.738 0.262 0.500 Te
```

Properties
Total energy (eV per atom): -4.2816
SG: C2/m, No. 12
Formation energy without anion corrections (eV per atom): -1.1457


Material: Rb3Pm3ThTe8
Method: DFT, GGA-PBE
State: optimized geometry

```
Rb3Pm3ThTe8
1.0
7.929 -4.577 0.000
7.929 4.577 0.000
-5.293 0.000 8.723
Rb Pm Th Te
3 3 1 8
direct
0.000 0.000 0.000 Rb
0.000 0.500 0.000 Rb
0.500 0.000 0.000 Rb
0.000 0.500 0.500 Pm
0.500 0.000 0.500 Pm
0.500 0.500 0.500 Pm
0.000 0.000 0.500 Th
0.233 0.233 0.701 Te
0.233 0.735 0.701 Te
0.265 0.767 0.299 Te
0.266 0.266 0.297 Te
0.734 0.734 0.703 Te
0.735 0.233 0.701 Te
0.767 0.265 0.299 Te
0.767 0.767 0.299 Te
```

Properties
Total energy (eV per atom): -4.6859
SG: C2/m, No. 12
Formation energy without anion corrections (eV per atom): -1.3720


Material: Rb4Pm3ThTe8
Method: DFT, GGA-PBE
State: optimized geometry

```
Rb4Pm3ThTe8
1.0
4.591 2.650 8.621
-4.591 2.650 8.621
0.000 -5.301 8.621
Rb Pm Th Te
4 3 1 8
direct
0.000 0.000 0.000 Rb
0.000 0.500 0.500 Rb
0.500 0.000 0.500 Rb
0.500 0.500 0.000 Rb
0.000 0.000 0.500 Pm
0.000 0.500 0.000 Pm
0.500 0.000 0.000 Pm
0.500 0.500 0.500 Th
0.235 0.235 0.235 Te
0.238 0.734 0.734 Te
0.266 0.266 0.762 Te
0.266 0.762 0.266 Te
0.734 0.238 0.734 Te
0.734 0.734 0.238 Te
0.762 0.266 0.266 Te
0.765 0.765 0.765 Te
```

Properties
Total energy (eV per atom): -4.5144
SG: R-3m, No. 166
Formation energy without anion corrections (eV per atom): -1.3471


Material: Rb3Pm3TmTe8
Method: DFT, GGA-PBE
State: optimized geometry

```
Rb3Pm3TmTe8
1.0
4.488 2.591 8.863
-4.488 2.591 8.863
0.000 -5.183 8.863
Rb Pm Tm Te
3 3 1 8
direct
0.000 0.500 0.500 Rb
0.500 0.000 0.500 Rb
0.500 0.500 0.000 Rb
0.000 0.000 0.500 Pm
0.000 0.500 0.000 Pm
0.500 0.000 0.000 Pm
0.500 0.500 0.500 Tm
0.235 0.235 0.235 Te
0.241 0.729 0.729 Te
0.271 0.271 0.759 Te
0.271 0.759 0.271 Te
0.729 0.241 0.729 Te
0.729 0.729 0.241 Te
0.759 0.271 0.271 Te
0.765 0.765 0.765 Te
```

Properties
Total energy (eV per atom): -4.4348
SG: R-3m, No. 166
Formation energy without anion corrections (eV per atom): -1.3175


Material: Rb4Pm3TmTe8
Method: DFT, GGA-PBE
State: optimized geometry

```
Rb4Pm3TmTe8
1.0
4.589 2.650 8.565
-4.589 2.650 8.565
0.000 -5.299 8.565
Rb Pm Tm Te
4 3 1 8
direct
0.000 0.000 0.000 Rb
0.000 0.500 0.500 Rb
0.500 0.000 0.500 Rb
0.500 0.500 0.000 Rb
0.000 0.000 0.500 Pm
0.000 0.500 0.000 Pm
0.500 0.000 0.000 Pm
0.500 0.500 0.500 Tm
0.235 0.235 0.235 Te
0.242 0.730 0.730 Te
0.270 0.270 0.758 Te
0.270 0.758 0.270 Te
0.730 0.242 0.730 Te
0.730 0.730 0.242 Te
0.758 0.270 0.270 Te
0.765 0.765 0.765 Te
```

Properties
Total energy (eV per atom): -4.3750
SG: R-3m, No. 166
Formation energy without anion corrections (eV per atom): -1.3921


Material: Rb3PmU3Te8
Method: DFT, GGA-PBE
State: optimized geometry

```
Rb3PmU3Te8
1.0
4.498 2.597 8.721
-4.498 2.597 8.721
0.000 -5.194 8.721
Rb Pm U Te
3 1 3 8
direct
0.000 0.500 0.500 Rb
0.500 0.000 0.500 Rb
0.500 0.500 0.000 Rb
0.500 0.500 0.500 Pm
0.000 0.000 0.500 U
0.000 0.500 0.000 U
0.500 0.000 0.000 U
0.227 0.737 0.737 Te
0.234 0.234 0.234 Te
0.263 0.263 0.773 Te
0.263 0.773 0.263 Te
0.737 0.227 0.737 Te
0.737 0.737 0.227 Te
0.766 0.766 0.766 Te
0.773 0.263 0.263 Te
```

Properties
Total energy (eV per atom): -5.3994
SG: R-3m, No. 166
Formation energy without anion corrections (eV per atom): -0.9560


Material: Rb2Pm2UTe6
Method: DFT, GGA-PBE
State: optimized geometry

```
Rb2Pm2UTe6
1.0
3.923 -6.766 0.000
3.923 6.766 0.000
-2.667 0.000 8.772
Rb Pm U Te
2 2 1 6
direct
0.170 0.830 0.000 Rb
0.830 0.170 0.000 Rb
0.333 0.667 0.500 Pm
0.667 0.333 0.500 Pm
0.000 0.000 0.500 U
0.070 0.393 0.700 Te
0.257 0.257 0.302 Te
0.393 0.070 0.700 Te
0.607 0.930 0.300 Te
0.743 0.743 0.698 Te
0.930 0.607 0.300 Te
```

Properties
Total energy (eV per atom): -4.9680
SG: C2/m, No. 12
Formation energy without anion corrections (eV per atom): -1.1885


Material: Rb3Pm2UTe6
Method: DFT, GGA-PBE
State: optimized geometry

```
Rb3Pm2UTe6
1.0
3.993 -6.917 0.000
3.993 6.917 0.000
-2.660 0.000 8.580
Rb Pm U Te
3 2 1 6
direct
0.000 0.000 0.000 Rb
0.332 0.668 0.000 Rb
0.668 0.332 0.000 Rb
0.166 0.834 0.500 Pm
0.834 0.166 0.500 Pm
0.500 0.500 0.500 U
0.101 0.432 0.296 Te
0.237 0.237 0.704 Te
0.432 0.101 0.296 Te
0.568 0.899 0.704 Te
0.763 0.763 0.296 Te
0.899 0.568 0.704 Te
```

Properties
Total energy (eV per atom): -4.7538
SG: C2/m, No. 12
Formation energy without anion corrections (eV per atom): -1.2087


Material: Rb4Pm3YTe8
Method: DFT, GGA-PBE
State: optimized geometry

```
Rb4Pm3YTe8
1.0
4.600 2.656 8.566
-4.600 2.656 8.566
0.000 -5.311 8.566
Rb Pm Y Te
4 3 1 8
direct
0.000 0.000 0.000 Rb
0.000 0.500 0.500 Rb
0.500 0.000 0.500 Rb
0.500 0.500 0.000 Rb
0.000 0.000 0.500 Pm
0.000 0.500 0.000 Pm
0.500 0.000 0.000 Pm
0.500 0.500 0.500 Y
0.235 0.235 0.235 Te
0.239 0.732 0.732 Te
0.268 0.268 0.761 Te
0.268 0.761 0.268 Te
0.732 0.239 0.732 Te
0.732 0.732 0.239 Te
0.761 0.268 0.268 Te
0.765 0.765 0.765 Te
```

Properties
Total energy (eV per atom): -4.5117
SG: R-3m, No. 166
Formation energy without anion corrections (eV per atom): -1.4042


Material: Rb3Pm2YTe6
Method: DFT, GGA-PBE
State: optimized geometry

```
Rb3Pm2YTe6
1.0
3.976 -6.887 0.000
3.976 6.887 0.000
-2.652 0.000 8.563
Rb Pm Y Te
3 2 1 6
direct
0.000 0.000 0.000 Rb
0.332 0.668 0.000 Rb
0.668 0.332 0.000 Rb
0.166 0.834 0.500 Pm
0.834 0.166 0.500 Pm
0.500 0.500 0.500 Y
0.105 0.433 0.298 Te
0.240 0.240 0.703 Te
0.433 0.105 0.298 Te
0.567 0.895 0.702 Te
0.760 0.760 0.297 Te
0.895 0.567 0.702 Te
```

Properties
Total energy (eV per atom): -4.5471
SG: C2/m, No. 12
Formation energy without anion corrections (eV per atom): -1.4039


Material: RbPm3Y2Te6
Method: DFT, GGA-PBE
State: optimized geometry

```
RbPm3Y2Te6
1.0
9.840 -2.225 0.000
9.840 2.225 0.000
-2.158 0.000 8.939
Rb Pm Y Te
1 3 2 6
direct
0.000 0.000 0.000 Rb
0.000 0.000 0.500 Pm
0.342 0.342 0.185 Pm
0.658 0.658 0.815 Pm
0.332 0.332 0.658 Y
0.668 0.668 0.342 Y
0.168 0.168 0.577 Te
0.177 0.177 0.092 Te
0.493 0.493 0.731 Te
0.507 0.507 0.269 Te
0.823 0.823 0.908 Te
0.832 0.832 0.423 Te
```

Properties
Total energy (eV per atom): -5.2399
SG: C2/m, No. 12
Formation energy without anion corrections (eV per atom): -1.3234


Material: Rb3Pm3YTe8
Method: DFT, GGA-PBE
State: optimized geometry

```
Rb3Pm3YTe8
1.0
4.499 2.597 8.850
-4.499 2.597 8.850
0.000 -5.195 8.850
Rb Pm Y Te
3 3 1 8
direct
0.000 0.500 0.500 Rb
0.500 0.000 0.500 Rb
0.500 0.500 0.000 Rb
0.000 0.000 0.500 Pm
0.000 0.500 0.000 Pm
0.500 0.000 0.000 Pm
0.500 0.500 0.500 Y
0.235 0.235 0.235 Te
0.238 0.732 0.732 Te
0.268 0.268 0.762 Te
0.268 0.762 0.268 Te
0.732 0.238 0.732 Te
0.732 0.732 0.238 Te
0.762 0.268 0.268 Te
0.765 0.765 0.765 Te
```

Properties
Total energy (eV per atom): -4.5783
SG: R-3m, No. 166
Formation energy without anion corrections (eV per atom): -1.3281